1.
Here is a relaxed structure of Ca19In8N7 from the Alexandria database. Energies are from PBE-GGA.

* E_form (uncorrected): -23.67 eV/f.u.
* SG: No. 225

Lattice parameters (Å, degrees): 10.446 10.446 10.446 60.00 60.00 60.00
Element x y z (fractional)
Ca (0.000, 0.000, 0.000)
Ca (0.000, 0.000, 0.327)
Ca (0.000, 0.000, 0.673)
Ca (0.000, 0.327, 0.000)
Ca (0.000, 0.327, 0.673)
Ca (0.000, 0.673, 0.000)
Ca (0.000, 0.673, 0.327)
Ca (0.327, 0.000, 0.000)
Ca (0.327, 0.000, 0.673)
Ca (0.327, 0.673, 0.000)
Ca (0.334, 0.334, 0.666)
Ca (0.334, 0.666, 0.334)
Ca (0.334, 0.666, 0.666)
Ca (0.666, 0.334, 0.334)
Ca (0.666, 0.334, 0.666)
Ca (0.666, 0.666, 0.334)
Ca (0.673, 0.000, 0.000)
Ca (0.673, 0.000, 0.327)
Ca (0.673, 0.327, 0.000)
In (0.024, 0.325, 0.325)
In (0.325, 0.024, 0.325)
In (0.325, 0.325, 0.024)
In (0.325, 0.325, 0.325)
In (0.675, 0.675, 0.675)
In (0.675, 0.675, 0.976)
In (0.675, 0.976, 0.675)
In (0.976, 0.675, 0.675)
N (0.174, 0.174, 0.826)
N (0.174, 0.826, 0.174)
N (0.174, 0.826, 0.826)
N (0.500, 0.500, 0.500)
N (0.826, 0.174, 0.174)
N (0.826, 0.174, 0.826)
N (0.826, 0.826, 0.174)

=====

2.
Here is a relaxed structure of NaLu2Ru from the Alexandria database. Energies are from PBE-GGA.

* energy relative to the elements: -1.1 eV/f.u.
* SG: No. 123

Lattice parameters (Å, degrees): 3.346 3.346 9.265 90.00 90.00 90.00
Element x y z (fractional)
Na (0.000, 0.000, 0.000)
Lu (0.500, 0.500, 0.327)
Lu (0.500, 0.500, 0.673)
Ru (0.000, 0.000, 0.500)

=====

3.
Here is a relaxed structure of Pd3RhSe from the Alexandria database. Energies are from PBE-GGA.

* E_form (uncorrected): 2.86 eV/f.u.
* offset from the most stable computed form: 0.0 meV/atom
* SG: No. 221

Lattice parameters (Å, degrees): 4.622 4.622 4.622 90.00 90.00 90.00
Element x y z (fractional)
Pd (0.000, 0.000, 0.500)
Pd (0.000, 0.500, 0.000)
Pd (0.500, 0.000, 0.000)
Rh (0.500, 0.500, 0.500)
Se (0.000, 0.000, 0.000)

=====

4.
Here is a relaxed structure of TaTcRu2 from the Alexandria database. Energies are from PBE-GGA.

* energy relative to the elements: 0.5 eV/f.u.
* offset from the most stable computed form: 246.8 meV/atom
* SG: No. 225

Lattice parameters (Å, degrees): 4.439 4.439 4.439 60.00 60.00 60.00
Element x y z (fractional)
Ta (0.000, 0.000, 0.000)
Tc (0.500, 0.500, 0.500)
Ru (0.250, 0.250, 0.250)
Ru (0.750, 0.750, 0.750)

=====

5.
Here is a relaxed structure of CuRe3P from the Alexandria database. Energies are from PBE-GGA.

* energy relative to the elements: 5.3 eV/f.u.
* offset from the most stable computed form: 0.0 meV/atom
* SG: No. 221

Lattice parameters (Å, degrees): 4.354 4.354 4.354 90.00 90.00 90.00
Element x y z (fractional)
Cu (0.000, 0.000, 0.000)
Re (0.000, 0.500, 0.500)
Re (0.500, 0.000, 0.500)
Re (0.500, 0.500, 0.000)
P (0.500, 0.500, 0.500)

=====

6.
Here is a relaxed structure of AlMo2As from the Alexandria database. Energies are from PBE-GGA.

* energy relative to the elements: 0.3 eV/f.u.
* offset from the most stable computed form: 280.4 meV/atom
* SG: No. 71

Lattice parameters (Å, degrees): 5.044 5.044 5.044 142.75 124.55 68.71
Element x y z (fractional)
Al (0.000, 0.000, 0.000)
Mo (0.266, 0.766, 0.500)
Mo (0.734, 0.234, 0.500)
As (0.500, 0.500, 0.000)

=====

7.
Here is a relaxed structure of TbGd2Pu from the Alexandria database. Energies are from PBE-GGA.

* energy relative to the elements: 0.8 eV/f.u.
* offset from the most stable computed form: 56.3 meV/atom
* SG: No. 225

Lattice parameters (Å, degrees): 5.590 5.590 5.590 60.00 60.00 60.00
Element x y z (fractional)
Tb (0.000, 0.000, 0.000)
Gd (0.250, 0.250, 0.250)
Gd (0.750, 0.750, 0.750)
Pu (0.500, 0.500, 0.500)

=====

8.
Here is a relaxed structure of YCr2Cl from the Alexandria database. Energies are from PBE-GGA.

* E_form (uncorrected): 1.78 eV/f.u.
* offset from the most stable computed form: 582.0 meV/atom
* SG: No. 123

Lattice parameters (Å, degrees): 3.591 3.591 5.634 90.00 90.00 90.00
Element x y z (fractional)
Y (0.000, 0.000, 0.000)
Cr (0.000, 0.500, 0.500)
Cr (0.500, 0.000, 0.500)
Cl (0.500, 0.500, 0.000)

=====

Values of M_tot, in order: 0.00; 0.00; 1.75; 2.89; 0.00; 0.00; 7.55; 2.19, all in μB/f.u..